# V3FeHg PBE optimized geometry
# Formation enthalpy at 0 K = 3.23 eV per formula unit
# Density = 8.33 g cm⁻³
data_V3FeHg
_chemical_formula_sum 'V3 Fe1 Hg1'
_cell_length_a 4.3376
_cell_length_b 4.3376
_cell_length_c 4.3376
_cell_angle_alpha 90.00
_cell_angle_beta 90.00
_cell_angle_gamma 90.00
_space_group_name_H-M_alt 'P m -3 m'
_space_group_IT_number 221
_space_group_name_Hall '-P 4 2 3'
loop_
_atom_site_label
_atom_site_type_symbol
_atom_site_fract_x
_atom_site_fract_y
_atom_site_fract_z
V1 V 0.0000 0.0000 0.5000
Fe1 Fe 0.0000 0.0000 0.0000
Hg1 Hg 0.5000 0.5000 0.5000



# PmErHgSb PBE optimized geometry
# Density = 9.79 g cm⁻³
# Formation energy without anion corrections = -0.610 eV/atom
data_PmErHgSb
_chemical_formula_sum 'Pm4 Er4 Hg4 Sb4'
_cell_length_a 7.5514
_cell_length_b 7.5514
_cell_length_c 7.5514
_cell_angle_alpha 90.00
_cell_angle_beta 90.00
_cell_angle_gamma 90.00
_space_group_name_H-M_alt 'F -4 3 m'
_space_group_IT_number 216
_space_group_name_Hall 'F -4 2 3'
loop_
_atom_site_label
_atom_site_type_symbol
_atom_site_fract_x
_atom_site_fract_y
_atom_site_fract_z
Pm1 Pm 0.0000 0.0000 0.0000
Er1 Er 0.0000 0.0000 0.5000
Hg1 Hg 0.2500 0.2500 0.7500
Sb1 Sb 0.2500 0.2500 0.2500



# LaNd4Ir4 PBE optimized geometry
# Formation enthalpy at 0 K = -4.95 eV per formula unit
# Density = 10.15 g cm⁻³
data_LaNd4Ir4
_chemical_formula_sum 'La2 Nd8 Ir8'
_cell_length_a 9.1216
_cell_length_b 9.1216
_cell_length_c 5.8407
_cell_angle_alpha 90.00
_cell_angle_beta 90.00
_cell_angle_gamma 90.00
_space_group_name_H-M_alt 'P 42/n'
_space_group_IT_number 86
loop_
_space_group_symop_operation_xyz
'x,y,z'
'-x,-y,-z'
'-y,x+1/2,z+1/2'
'y,-x+1/2,-z+1/2'
'-x+1/2,-y+1/2,z'
'x+1/2,y+1/2,-z'
'y+1/2,-x,z+1/2'
'-y+1/2,x,-z+1/2'
loop_
_atom_site_label
_atom_site_type_symbol
_atom_site_fract_x
_atom_site_fract_y
_atom_site_fract_z
La1 La 0.2500 0.2500 0.2500
Nd1 Nd 0.0743 0.6612 0.1426
Ir1 Ir 0.0288 0.6192 0.6392



# Hg7Cl PBE optimized geometry
# Excess energy over the best structure of this formula in the dataset = 0 meV per atom
# Density = 10.84 g cm⁻³
# Formation energy without anion corrections = -0.078 eV/atom
data_Hg7Cl
_chemical_formula_sum 'Hg14 Cl2'
_cell_length_a 5.3175
_cell_length_b 5.3175
_cell_length_c 15.6005
_cell_angle_alpha 90.00
_cell_angle_beta 90.00
_cell_angle_gamma 90.00
_space_group_name_H-M_alt 'I 4/m m m'
_space_group_IT_number 139
_space_group_name_Hall '-I 4 2'
loop_
_atom_site_label
_atom_site_type_symbol
_atom_site_fract_x
_atom_site_fract_y
_atom_site_fract_z
Hg1 Hg 0.0000 0.0000 0.0000
Hg2 Hg 0.0000 0.0000 0.2510
Hg3 Hg 0.0000 0.5000 0.1248
Cl1 Cl 0.0000 0.0000 0.5000



The V results, record by record, are as follows: 81.6, 107.7, 243.0, 220.6 Å³/f.u..